Material: RbTiTlCl6
Method: DFT, PBE
State: optimized geometry

Results
E: -0.29433 Ry per atom
Formation energy without anion corrections: -1.53 eV per atom
Space-group type: P312 (149)

The structure in CIF format:
```
data_RbTiTlCl6
_space_group_name_H-M_alt 'P 1'
_space_group_IT_number 1
_cell_length_a 7.562
_cell_length_b 7.562
_cell_length_c 6.267
_cell_angle_alpha 90.00
_cell_angle_beta 90.00
_cell_angle_gamma 60.00
loop_
_space_group_symop_operation_xyz
'x,y,z'
loop_
_atom_site_label
_atom_site_type_symbol
_atom_site_fract_x
_atom_site_fract_y
_atom_site_fract_z
_atom_site_occupancy
Cl1 Cl 0.324 0.083 0.720 1
Cl2 Cl 0.083 0.593 0.720 1
Cl3 Cl 0.593 0.324 0.720 1
Cl4 Cl 0.083 0.324 0.280 1
Cl5 Cl 0.324 0.592 0.280 1
Cl6 Cl 0.593 0.083 0.280 1
Rb1 Rb 0.667 0.667 0.500 1
Tl1 Tl 0.000 0.000 0.000 1
Ti1 Ti 0.333 0.333 0.500 1
```


Material: Rb2TiTlCl6
Method: DFT, PBE
State: optimized geometry

Results
E: -0.29063 Ry per atom
Formation energy without anion corrections: -1.63 eV per atom
Space-group type: Pmmn (59)

The structure in CIF format:
```
data_Rb2TiTlCl6
_space_group_name_H-M_alt 'P 1'
_space_group_IT_number 1
_cell_length_a 7.319
_cell_length_b 8.448
_cell_length_c 10.923
_cell_angle_alpha 90.00
_cell_angle_beta 90.00
_cell_angle_gamma 90.00
loop_
_space_group_symop_operation_xyz
'x,y,z'
loop_
_atom_site_label
_atom_site_type_symbol
_atom_site_fract_x
_atom_site_fract_y
_atom_site_fract_z
_atom_site_occupancy
Cl1 Cl 0.770 0.009 0.000 1
Cl2 Cl 0.500 0.202 0.276 1
Cl3 Cl 0.270 0.991 0.500 1
Cl4 Cl 0.000 0.798 0.224 1
Cl5 Cl 0.000 0.798 0.776 1
Cl6 Cl 0.740 0.401 0.500 1
Cl7 Cl 0.500 0.202 0.724 1
Cl8 Cl 0.230 0.009 0.000 1
Cl9 Cl 0.760 0.599 0.000 1
Cl10 Cl 0.260 0.401 0.500 1
Cl11 Cl 0.240 0.599 0.000 1
Cl12 Cl 0.730 0.991 0.500 1
Rb1 Rb 0.000 0.187 0.284 1
Rb2 Rb 0.500 0.813 0.216 1
Rb3 Rb 0.000 0.187 0.716 1
Rb4 Rb 0.500 0.813 0.784 1
Tl1 Tl 0.000 0.696 0.500 1
Tl2 Tl 0.500 0.304 0.000 1
Ti1 Ti 0.500 0.203 0.500 1
Ti2 Ti 0.000 0.797 0.000 1
```


Material: Rb2TiTlCl8
Method: DFT, PBE
State: optimized geometry

Results
E: -0.27161 Ry per atom
Formation energy without anion corrections: -1.45 eV per atom
Space-group type: P-1 (2)

The structure in CIF format:
```
data_Rb2TiTlCl8
_space_group_name_H-M_alt 'P 1'
_space_group_IT_number 1
_cell_length_a 7.182
_cell_length_b 6.665
_cell_length_c 8.572
_cell_angle_alpha 89.78
_cell_angle_beta 90.18
_cell_angle_gamma 91.85
loop_
_space_group_symop_operation_xyz
'x,y,z'
loop_
_atom_site_label
_atom_site_type_symbol
_atom_site_fract_x
_atom_site_fract_y
_atom_site_fract_z
_atom_site_occupancy
Ti1 Ti 0.000 0.000 0.000 1
Cl1 Cl 0.685 0.780 0.501 1
Cl2 Cl 0.890 0.216 0.799 1
Cl3 Cl 0.887 0.215 0.198 1
Cl4 Cl 0.713 0.824 0.998 1
Cl5 Cl 0.110 0.784 0.201 1
Cl6 Cl 0.287 0.176 0.002 1
Cl7 Cl 0.113 0.785 0.802 1
Cl8 Cl 0.315 0.220 0.499 1
Rb1 Rb 0.500 0.498 0.763 1
Rb2 Rb 0.500 0.502 0.237 1
Tl1 Tl 0.000 0.000 0.500 1
```


Material: RbTiVCl6
Method: DFT, PBE
State: optimized geometry

Results
E: -0.35068 Ry per atom
Formation energy without anion corrections: -1.54 eV per atom
Space-group type: P-31c (163)

The structure in CIF format:
```
data_RbTiVCl6
_space_group_name_H-M_alt 'P 1'
_space_group_IT_number 1
_cell_length_a 6.397
_cell_length_b 6.397
_cell_length_c 14.950
_cell_angle_alpha 90.00
_cell_angle_beta 90.00
_cell_angle_gamma 120.00
loop_
_space_group_symop_operation_xyz
'x,y,z'
loop_
_atom_site_label
_atom_site_type_symbol
_atom_site_fract_x
_atom_site_fract_y
_atom_site_fract_z
_atom_site_occupancy
Cl1 Cl 0.631 0.630 0.157 1
Cl2 Cl 0.370 0.001 0.157 1
Cl3 Cl 0.999 0.630 0.343 1
Cl4 Cl 0.001 0.631 0.843 1
Cl5 Cl 0.369 0.999 0.657 1
Cl6 Cl 0.630 0.631 0.657 1
Cl7 Cl 0.631 0.001 0.343 1
Cl8 Cl 0.630 0.999 0.843 1
Cl9 Cl 0.370 0.369 0.343 1
Cl10 Cl 0.999 0.369 0.157 1
Cl11 Cl 0.001 0.370 0.657 1
Cl12 Cl 0.369 0.370 0.843 1
Rb1 Rb 0.000 0.000 0.000 1
Rb2 Rb 0.000 0.000 0.500 1
V1 V 0.333 0.667 0.250 1
V2 V 0.667 0.333 0.750 1
Ti1 Ti 0.667 0.333 0.250 1
Ti2 Ti 0.333 0.667 0.750 1
```